Entry 1:
DFT (PBE-GGA) results for an optimized crystal structure of Hf4AlPN2.

Cell lengths 3.276, 3.276, 13.053 Å; angles 90.00, 90.00, 120.00 degrees
Element x y z (fractional)
Hf1 0.000 0.000 0.136
Hf2 0.000 0.000 0.864
Hf3 0.667 0.333 0.328
Hf4 0.667 0.333 0.672
Al1 0.000 0.000 0.500
P1 0.667 0.333 0.000
N1 0.333 0.667 0.234
N2 0.333 0.667 0.766

Results
- Raw total energy: -9.460 eV/atom
- Mass density: 10.95 g cm⁻³
- SG: P-6m2, No. 187

***

Entry 2:
DFT (PBE-GGA) results for an optimized crystal structure of Hf4AlPbN2.

Cell lengths 3.232, 3.232, 14.609 Å; angles 90.00, 90.00, 120.00 degrees
Element x y z (fractional)
Hf1 0.000 0.000 0.156
Hf2 0.000 0.000 0.844
Hf3 0.667 0.333 0.329
Hf4 0.667 0.333 0.671
Al1 0.667 0.333 0.000
Pb1 0.000 0.000 0.500
N1 0.333 0.667 0.241
N2 0.333 0.667 0.759

Results
- Raw total energy: -8.957 eV/atom
- Mass density: 12.27 g cm⁻³
- SG: P-6m2, No. 187

***

Entry 3:
DFT (PBE-GGA) results for an optimized crystal structure of Hf4AlSiN2.

Cell lengths 3.194, 3.194, 13.809 Å; angles 90.00, 90.00, 120.00 degrees
Element x y z (fractional)
Hf1 0.000 0.000 0.150
Hf2 0.000 0.000 0.850
Hf3 0.333 0.667 0.335
Hf4 0.333 0.667 0.665
Al1 0.000 0.000 0.500
Si1 0.333 0.667 0.000
N1 0.667 0.333 0.243
N2 0.667 0.333 0.757

Results
- Raw total energy: -9.314 eV/atom
- Mass density: 10.85 g cm⁻³
- SG: P-6m2, No. 187

***

Entry 4:
DFT (PBE-GGA) results for an optimized crystal structure of Hf4AlSnN2.

Cell lengths 3.215, 3.215, 14.455 Å; angles 90.00, 90.00, 120.00 degrees
Element x y z (fractional)
Hf1 0.000 0.000 0.158
Hf2 0.000 0.000 0.842
Hf3 0.333 0.667 0.334
Hf4 0.333 0.667 0.666
Al1 0.333 0.667 0.000
Sn1 0.000 0.000 0.500
N1 0.667 0.333 0.245
N2 0.667 0.333 0.755

Results
- Raw total energy: -9.087 eV/atom
- Mass density: 11.39 g cm⁻³
- SG: P-6m2, No. 187

***

Entry 5:
DFT (PBE-GGA) results for an optimized crystal structure of Hf2Ta4Al3N3.

Cell lengths 5.371, 5.371, 14.275 Å; angles 100.86, 100.86, 60.12 degrees
Element x y z (fractional)
Hf1 0.033 0.868 0.601
Hf2 0.132 0.967 0.899
Hf3 0.868 0.033 0.101
Hf4 0.967 0.132 0.399
Ta1 0.195 0.363 0.086
Ta2 0.307 0.470 0.414
Ta3 0.363 0.195 0.586
Ta4 0.470 0.307 0.914
Ta5 0.530 0.693 0.086
Ta6 0.637 0.805 0.414
Ta7 0.693 0.530 0.586
Ta8 0.805 0.637 0.914
Al1 0.083 0.305 0.750
Al2 0.305 0.083 0.250
Al3 0.472 0.528 0.750
Al4 0.528 0.472 0.250
Al5 0.695 0.917 0.750
Al6 0.917 0.695 0.250
N1 0.000 0.500 0.500
N2 0.159 0.683 0.000
N3 0.317 0.841 0.500
N4 0.500 0.000 0.000
N5 0.683 0.159 0.500
N6 0.841 0.317 0.000

Results
- Raw total energy: -9.428 eV/atom
- Mass density: 11.47 g cm⁻³
- SG: C2/c, No. 15

***

Entry 6:
DFT (PBE-GGA) results for an optimized crystal structure of Hf4AlTlN2.

Cell lengths 3.232, 3.232, 14.494 Å; angles 90.00, 90.00, 120.00 degrees
Element x y z (fractional)
Hf1 0.000 0.000 0.156
Hf2 0.000 0.000 0.844
Hf3 0.667 0.333 0.329
Hf4 0.667 0.333 0.671
Al1 0.667 0.333 0.000
Tl1 0.000 0.000 0.500
N1 0.333 0.667 0.244
N2 0.333 0.667 0.756

Results
- Raw total energy: -8.821 eV/atom
- Mass density: 12.33 g cm⁻³
- SG: P-6m2, No. 187

***

Entry 7:
DFT (PBE-GGA) results for an optimized crystal structure of Hf2Al3W4N3.

Cell lengths 5.351, 5.351, 13.675 Å; angles 101.09, 101.09, 60.19 degrees
Element x y z (fractional)
Hf1 0.036 0.871 0.614
Hf2 0.129 0.964 0.886
Hf3 0.871 0.036 0.114
Hf4 0.964 0.129 0.386
Al1 0.082 0.394 0.749
Al2 0.394 0.082 0.249
Al3 0.437 0.563 0.250
Al4 0.563 0.437 0.750
Al5 0.606 0.918 0.751
Al6 0.918 0.606 0.251
W1 0.193 0.375 0.080
W2 0.320 0.457 0.420
W3 0.375 0.193 0.580
W4 0.457 0.320 0.920
W5 0.543 0.680 0.080
W6 0.625 0.807 0.420
W7 0.680 0.543 0.580
W8 0.807 0.625 0.920
N1 0.000 0.500 0.500
N2 0.146 0.709 0.000
N3 0.291 0.854 0.500
N4 0.500 0.000 0.000
N5 0.709 0.146 0.500
N6 0.854 0.291 0.000

Results
- Raw total energy: -9.428 eV/atom
- Mass density: 12.18 g cm⁻³
- SG: C2/c, No. 15

***

Entry 8:
DFT (PBE-GGA) results for an optimized crystal structure of Hf4Al3W2N3.

Cell lengths 5.365, 5.365, 14.345 Å; angles 100.63, 100.63, 60.24 degrees
Element x y z (fractional)
Hf1 0.030 0.201 0.094
Hf2 0.141 0.300 0.407
Hf3 0.201 0.030 0.594
Hf4 0.300 0.141 0.907
Hf5 0.700 0.859 0.093
Hf6 0.799 0.970 0.406
Hf7 0.859 0.700 0.593
Hf8 0.970 0.799 0.906
Al1 0.123 0.877 0.250
Al2 0.286 0.419 0.749
Al3 0.419 0.286 0.249
Al4 0.581 0.714 0.751
Al5 0.714 0.581 0.251
Al6 0.877 0.123 0.750
W1 0.373 0.528 0.090
W2 0.472 0.627 0.410
W3 0.528 0.373 0.590
W4 0.627 0.472 0.910
N1 0.000 0.500 0.000
N2 0.156 0.672 0.500
N3 0.328 0.844 0.000
N4 0.500 0.000 0.500
N5 0.672 0.156 0.000
N6 0.844 0.328 0.500

Results
- Raw total energy: -9.266 eV/atom
- Mass density: 11.42 g cm⁻³
- SG: C2/c, No. 15

***

Entry 9:
DFT (PBE-GGA) results for an optimized crystal structure of Hf4AlZnN2.

Cell lengths 3.207, 3.207, 14.053 Å; angles 90.00, 90.00, 120.00 degrees
Element x y z (fractional)
Hf1 0.000 0.000 0.159
Hf2 0.000 0.000 0.841
Hf3 0.333 0.667 0.338
Hf4 0.333 0.667 0.662
Al1 0.000 0.000 0.500
Zn1 0.333 0.667 0.000
N1 0.667 0.333 0.247
N2 0.667 0.333 0.753

Results
- Raw total energy: -8.721 eV/atom
- Mass density: 11.07 g cm⁻³
- SG: P-6m2, No. 187

***

Entry 10:
DFT (PBE-GGA) results for an optimized crystal structure of Hf2Zr4Al3N3.

Cell lengths 5.602, 5.602, 14.689 Å; angles 101.00, 101.00, 60.02 degrees
Element x y z (fractional)
Hf1 0.029 0.860 0.586
Hf2 0.140 0.971 0.914
Hf3 0.860 0.029 0.086
Hf4 0.971 0.140 0.414
Zr1 0.197 0.366 0.091
Zr2 0.305 0.467 0.409
Zr3 0.366 0.197 0.591
Zr4 0.467 0.305 0.909
Zr5 0.533 0.695 0.091
Zr6 0.634 0.803 0.409
Zr7 0.695 0.533 0.591
Zr8 0.803 0.634 0.909
Al1 0.083 0.237 0.749
Al2 0.237 0.083 0.249
Al3 0.403 0.597 0.750
Al4 0.597 0.403 0.250
Al5 0.763 0.917 0.751
Al6 0.917 0.763 0.251
N1 0.000 0.500 0.500
N2 0.163 0.675 0.000
N3 0.325 0.837 0.500
N4 0.500 0.000 0.000
N5 0.675 0.163 0.500
N6 0.837 0.325 0.000

Results
- Raw total energy: -8.613 eV/atom
- Mass density: 7.20 g cm⁻³
- SG: C2/c, No. 15

***

Entry 11:
DFT (PBE-GGA) results for an optimized crystal structure of NaHfAlNi.

Cell lengths 4.490, 4.490, 4.490 Å; angles 60.00, 60.00, 60.00 degrees
Element x y z (fractional)
Na1 0.000 0.000 0.000
Hf1 0.750 0.750 0.750
Al1 0.250 0.250 0.250
Ni1 0.500 0.500 0.500

Results
- Raw total energy: -5.129 eV/atom
- Mass density: 7.45 g cm⁻³
- SG: F-43m, No. 216

***

Entry 12:
DFT (PBE-GGA) results for an optimized crystal structure of NaHfAlNi.

Cell lengths 4.621, 4.621, 4.621 Å; angles 60.00, 60.00, 60.00 degrees
Element x y z (fractional)
Na1 0.000 0.000 0.000
Hf1 0.500 0.500 0.500
Al1 0.750 0.750 0.750
Ni1 0.250 0.250 0.250

Results
- Raw total energy: -4.976 eV/atom
- Mass density: 6.83 g cm⁻³
- SG: F-43m, No. 216

***

Entry 13:
DFT (PBE-GGA) results for an optimized crystal structure of Na2HfZrAl2Pd2.

Cell lengths 4.617, 4.617, 6.533 Å; angles 90.00, 90.00, 90.00 degrees
Element x y z (fractional)
Na1 0.000 0.500 0.250
Na2 0.500 0.000 0.750
Hf1 0.000 0.000 0.500
Zr1 0.500 0.500 0.000
Al1 0.000 0.000 0.000
Al2 0.500 0.500 0.500
Pd1 0.000 0.500 0.746
Pd2 0.500 0.000 0.254

Results
- Raw total energy: -5.109 eV/atom
- Mass density: 6.95 g cm⁻³
- SG: P-4m2, No. 115

***

Entry 14:
DFT (PBE-GGA) results for an optimized crystal structure of NaHfAlS3.

Cell lengths 7.142, 7.142, 9.801 Å; angles 90.00, 90.00, 151.41 degrees
Element x y z (fractional)
Na1 0.250 0.750 0.750
Na2 0.750 0.250 0.250
Hf1 0.000 0.000 0.000
Hf2 0.000 0.000 0.500
Al1 0.462 0.538 0.250
Al2 0.538 0.462 0.750
S1 0.073 0.927 0.250
S2 0.366 0.634 0.065
S3 0.366 0.634 0.435
S4 0.634 0.366 0.565
S5 0.634 0.366 0.935
S6 0.927 0.073 0.750

Results
- Raw total energy: -5.598 eV/atom
- Mass density: 4.51 g cm⁻³
- SG: Cmcm, No. 63

***

Entry 15:
DFT (PBE-GGA) results for an optimized crystal structure of HfNbAl.

Cell lengths 4.477, 4.477, 4.477 Å; angles 60.00, 60.00, 60.00 degrees
Element x y z (fractional)
Hf1 0.000 0.000 0.000
Nb1 0.500 0.500 0.500
Al1 0.250 0.250 0.250

Results
- Raw total energy: -7.619 eV/atom
- Mass density: 7.81 g cm⁻³
- SG: F-43m, No. 216

***

Entry 16:
DFT (PBE-GGA) results for an optimized crystal structure of HfNbAlNi.

Cell lengths 4.533, 4.533, 4.533 Å; angles 60.00, 60.00, 60.00 degrees
Element x y z (fractional)
Hf1 0.000 0.000 0.000
Nb1 0.250 0.250 0.250
Al1 0.500 0.500 0.500
Ni1 0.750 0.750 0.750

Results
- Raw total energy: -7.367 eV/atom
- Mass density: 9.00 g cm⁻³
- SG: F-43m, No. 216

***

Entry 17:
DFT (PBE-GGA) results for an optimized crystal structure of NdHfAl4Ni2.

Cell lengths 6.741, 5.341, 5.341 Å; angles 45.27, 90.00, 90.00 degrees
Element x y z (fractional)
Nd1 0.000 0.000 0.000
Hf1 0.500 0.131 0.131
Al1 0.209 0.711 0.711
Al2 0.309 0.416 0.416
Al3 0.691 0.416 0.416
Al4 0.791 0.711 0.711
Ni1 0.000 0.280 0.280
Ni2 0.500 0.859 0.859

Results
- Raw total energy: -5.650 eV/atom
- Mass density: 6.66 g cm⁻³
- SG: Amm2, No. 38

***

Entry 18:
DFT (PBE-GGA) results for an optimized crystal structure of NdHfAl2Ni4.

Cell lengths 4.129, 4.129, 8.602 Å; angles 90.00, 90.00, 120.00 degrees
Element x y z (fractional)
Nd1 0.000 0.000 0.000
Hf1 0.333 0.667 0.500
Al1 0.667 0.333 0.274
Al2 0.667 0.333 0.726
Ni1 0.000 0.000 0.345
Ni2 0.000 0.000 0.655
Ni3 0.333 0.667 0.200
Ni4 0.333 0.667 0.800

Results
- Raw total energy: -6.120 eV/atom
- Mass density: 8.00 g cm⁻³
- SG: P-6m2, No. 187

***

Entry 19:
DFT (PBE-GGA) results for an optimized crystal structure of NdHfAl2Ni4.

Cell lengths 4.129, 4.129, 8.602 Å; angles 90.00, 90.00, 120.00 degrees
Element x y z (fractional)
Nd1 0.000 0.000 0.000
Hf1 0.333 0.667 0.500
Al1 0.667 0.333 0.274
Al2 0.667 0.333 0.726
Ni1 0.000 0.000 0.345
Ni2 0.000 0.000 0.655
Ni3 0.333 0.667 0.200
Ni4 0.333 0.667 0.800

Results
- Raw total energy: -6.120 eV/atom
- Mass density: 8.00 g cm⁻³
- SG: P-6m2, No. 187

***

Entry 20:
DFT (PBE-GGA) results for an optimized crystal structure of HfAl2Ni2.

Cell lengths 5.730, 5.730, 5.730 Å; angles 140.96, 140.96, 56.39 degrees
Element x y z (fractional)
Hf1 0.000 0.000 0.000
Al1 0.250 0.750 0.500
Al2 0.750 0.250 0.500
Ni1 0.390 0.390 0.000
Ni2 0.610 0.610 0.000

Results
- Raw total energy: -6.175 eV/atom
- Mass density: 7.85 g cm⁻³
- SG: I4/mmm, No. 139